## Na2CePaN4 (PBE)

Data for a geometry-optimized Na2CePaN4 structure.

Output
* ΔE_f (raw): -0.94 eV per atom
* total moment: 0.0000 μB per atom
* E: -7.363 eV per atom

Cell: 3.659 6.050 5.989 Å, 107.55 90.00 90.00°
Atoms (fractional coordinates):
Pa 0.000 0.000 0.000
N 0.500 0.770 0.809
N 0.500 0.230 0.191
N 0.000 0.753 0.192
N 0.000 0.247 0.808
Ce 0.500 0.500 0.000
Na 0.000 0.500 0.500
Na 0.500 0.000 0.500